[1]
# PBE Pm5Dy12Pu, optimized geometry
data_Pm5Dy12Pu
_chemical_formula_sum 'Pm10 Dy24 Pu2'
_cell_length_a 18.504
_cell_length_b 10.687
_cell_length_c 6.171
_cell_angle_alpha 90.00
_cell_angle_beta 109.37
_cell_angle_gamma 90.00
_space_group_name_H-M_alt 'C 1 2/m 1'
_space_group_IT_number 12
_space_group_name_Hall '-C 2y'
loop_
_atom_site_label
_atom_site_type_symbol
_atom_site_fract_x
_atom_site_fract_y
_atom_site_fract_z
Pm1 Pm 0.000 0.000 0.000
Pm2 Pm 0.165 0.500 0.992
Pm3 Pm 0.167 0.000 0.501
Dy1 Dy 0.000 0.171 0.500
Dy2 Dy 0.000 0.336 0.000
Dy3 Dy 0.165 0.334 0.499
Dy4 Dy 0.167 0.167 0.001
Pu1 Pu 0.000 0.500 0.500
# Uncorrected energy   -0.189 Ha/atom
# Crystal system   monoclinic
# Formation energy   33 meV per atom


[2]
# PBE Dy5Zn4Os, optimized geometry
data_Dy5Zn4Os
_chemical_formula_sum 'Dy5 Zn4 Os1'
_cell_length_a 3.505
_cell_length_b 3.505
_cell_length_c 18.025
_cell_angle_alpha 90.00
_cell_angle_beta 90.00
_cell_angle_gamma 90.00
_space_group_name_H-M_alt 'P 4/m m m'
_space_group_IT_number 123
_space_group_name_Hall '-P 4 2'
loop_
_atom_site_label
_atom_site_type_symbol
_atom_site_fract_x
_atom_site_fract_y
_atom_site_fract_z
Dy1 Dy 0.000 0.000 0.000
Dy2 Dy 0.000 0.000 0.201
Dy3 Dy 0.000 0.000 0.410
Zn1 Zn 0.500 0.500 0.101
Zn2 Zn 0.500 0.500 0.301
Os1 Os 0.500 0.500 0.500
# Uncorrected energy   -0.157 Ha/atom
# Crystal system   tetragonal
# Formation energy   -325 meV per atom


[3]
# PBE LuGa5, optimized geometry
data_LuGa5
_chemical_formula_sum 'Lu2 Ga10'
_cell_length_a 4.238
_cell_length_b 12.341
_cell_length_c 4.303
_cell_angle_alpha 90.00
_cell_angle_beta 90.00
_cell_angle_gamma 90.00
_space_group_name_H-M_alt 'C m m m'
_space_group_IT_number 65
_space_group_name_Hall '-C 2 2'
loop_
_atom_site_label
_atom_site_type_symbol
_atom_site_fract_x
_atom_site_fract_y
_atom_site_fract_z
Lu1 Lu 0.000 0.000 0.000
Ga1 Ga 0.000 0.171 0.500
Ga2 Ga 0.000 0.325 0.000
Ga3 Ga 0.000 0.500 0.500
# Uncorrected energy   -0.130 Ha/atom
# Crystal system   orthorhombic
# Formation energy   -259 meV per atom


[4]
# PBE Co2PtBr, optimized geometry
data_Co2PtBr
_chemical_formula_sum 'Co4 Pt2 Br2'
_cell_length_a 6.397
_cell_length_b 6.406
_cell_length_c 2.925
_cell_angle_alpha 90.00
_cell_angle_beta 90.00
_cell_angle_gamma 90.00
_space_group_name_H-M_alt 'C m m m'
_space_group_IT_number 65
_space_group_name_Hall '-C 2 2'
loop_
_atom_site_label
_atom_site_type_symbol
_atom_site_fract_x
_atom_site_fract_y
_atom_site_fract_z
Co1 Co 0.250 0.250 0.000
Pt1 Pt 0.000 0.000 0.500
Br1 Br 0.000 0.500 0.500
# Uncorrected energy   -0.180 Ha/atom
# Formation energy from raw total energies   586 meV/atom
# Crystal system   orthorhombic
# Relative energy among the computed polymorphs   0.286 eV/atom


[5]
# PBE BaSc, optimized geometry
data_BaSc
_chemical_formula_sum 'Ba6 Sc6'
_cell_length_a 12.5154
_cell_length_b 12.5154
_cell_length_c 3.5242
_cell_angle_alpha 90.00
_cell_angle_beta 90.00
_cell_angle_gamma 120.00
_space_group_name_H-M_alt 'P 63/m'
_space_group_IT_number 176
_space_group_name_Hall '-P 6c'
loop_
_atom_site_label
_atom_site_type_symbol
_atom_site_fract_x
_atom_site_fract_y
_atom_site_fract_z
Ba1 Ba 0.0588 0.7444 0.2500
Sc1 Sc 0.1636 0.5456 0.2500
# Uncorrected energy   -0.130 Ha/atom
# Crystal system   hexagonal
# Relative energy among the computed polymorphs   0.343 eV/atom
# Formation energy   579 meV per atom


[6]
# PBE In3Pd12Pt, optimized geometry
data_In3Pd12Pt
_chemical_formula_sum 'In3 Pd12 Pt1'
_cell_length_a 4.005
_cell_length_b 4.005
_cell_length_c 16.130
_cell_angle_alpha 90.00
_cell_angle_beta 90.00
_cell_angle_gamma 90.00
_space_group_name_H-M_alt 'P 4/m m m'
_space_group_IT_number 123
_space_group_name_Hall '-P 4 2'
loop_
_atom_site_label
_atom_site_type_symbol
_atom_site_fract_x
_atom_site_fract_y
_atom_site_fract_z
In1 In 0.000 0.000 0.000
In2 In 0.000 0.000 0.252
Pd1 Pd 0.000 0.500 0.127
Pd2 Pd 0.000 0.500 0.378
Pd3 Pd 0.500 0.500 0.000
Pd4 Pd 0.500 0.500 0.254
Pd5 Pd 0.500 0.500 0.500
Pt1 Pt 0.000 0.000 0.500
# Uncorrected energy   -0.188 Ha/atom
# Crystal system   tetragonal
# Formation energy   -332 meV per atom


[7]
# PBE ScTcF3, optimized geometry
data_ScTcF3
_chemical_formula_sum 'Sc1 Tc1 F3'
_cell_length_a 4.221
_cell_length_b 4.221
_cell_length_c 4.221
_cell_angle_alpha 90.00
_cell_angle_beta 90.00
_cell_angle_gamma 90.00
_space_group_name_H-M_alt 'P m -3 m'
_space_group_IT_number 221
_space_group_name_Hall '-P 4 2 3'
loop_
_atom_site_label
_atom_site_type_symbol
_atom_site_fract_x
_atom_site_fract_y
_atom_site_fract_z
Sc1 Sc 0.000 0.000 0.000
Tc1 Tc 0.500 0.500 0.500
F1 F 0.000 0.000 0.500
# Uncorrected energy   -0.228 Ha/atom
# Formation energy from raw total energies   -1732 meV/atom
# Crystal system   cubic
# Relative energy among the computed polymorphs   0.000 eV/atom


[8]
# PBE Tl3Cd2Sn9, optimized geometry
data_Tl3Cd2Sn9
_chemical_formula_sum 'Tl6 Cd4 Sn18'
_cell_length_a 5.075
_cell_length_b 11.888
_cell_length_c 13.463
_cell_angle_alpha 90.00
_cell_angle_beta 90.00
_cell_angle_gamma 90.00
_space_group_name_H-M_alt 'I m m m'
_space_group_IT_number 71
_space_group_name_Hall '-I 2 2'
loop_
_atom_site_label
_atom_site_type_symbol
_atom_site_fract_x
_atom_site_fract_y
_atom_site_fract_z
Tl1 Tl 0.000 0.000 0.000
Tl2 Tl 0.000 0.000 0.279
Cd1 Cd 0.000 0.146 0.500
Sn1 Sn 0.000 0.288 0.152
Sn2 Sn 0.000 0.365 0.371
Sn3 Sn 0.000 0.500 0.000
# Uncorrected energy   -0.117 Ha/atom
# Crystal system   orthorhombic
# Formation energy   36 meV per atom


[9]
# PBE Tl2HgTePd, optimized geometry
data_Tl2HgTePd
_chemical_formula_sum 'Tl2 Hg1 Te1 Pd1'
_cell_length_a 5.387
_cell_length_b 5.387
_cell_length_c 5.262
_cell_angle_alpha 90.00
_cell_angle_beta 90.00
_cell_angle_gamma 90.00
_space_group_name_H-M_alt 'P 4/m m m'
_space_group_IT_number 123
_space_group_name_Hall '-P 4 2'
loop_
_atom_site_label
_atom_site_type_symbol
_atom_site_fract_x
_atom_site_fract_y
_atom_site_fract_z
Tl1 Tl 0.000 0.500 0.000
Hg1 Hg 0.000 0.000 0.500
Te1 Te 0.500 0.500 0.500
Pd1 Pd 0.000 0.000 0.000
# Uncorrected energy   -0.101 Ha/atom
# Formation energy from raw total energies   -63 meV/atom
# Crystal system   tetragonal
# Relative energy among the computed polymorphs   0.033 eV/atom


[10]
# PBE Sr2MgIn12Ni3, optimized geometry
data_Sr2MgIn12Ni3
_chemical_formula_sum 'Sr6 Mg3 In36 Ni9'
_cell_length_a 9.5281
_cell_length_b 9.5281
_cell_length_c 19.9885
_cell_angle_alpha 90.00
_cell_angle_beta 90.00
_cell_angle_gamma 120.00
_space_group_name_H-M_alt 'R -3 m'
_space_group_IT_number 166
_space_group_name_Hall '-R 3 2"'
loop_
_atom_site_label
_atom_site_type_symbol
_atom_site_fract_x
_atom_site_fract_y
_atom_site_fract_z
Sr1 Sr 0.0000 0.0000 0.0947
Mg1 Mg 0.0000 0.0000 0.5000
In1 In 0.0238 0.5119 0.8726
In2 In 0.0853 0.5427 0.3180
Ni1 Ni 0.0000 0.5000 0.0000
# Uncorrected energy   -0.113 Ha/atom
# Crystal system   trigonal
# Formation energy   -20 meV per atom


[11]
# PBE HoPuHg4, optimized geometry
data_HoPuHg4
_chemical_formula_sum 'Ho1 Pu1 Hg4'
_cell_length_a 3.266
_cell_length_b 5.047
_cell_length_c 8.787
_cell_angle_alpha 90.00
_cell_angle_beta 90.00
_cell_angle_gamma 90.00
_space_group_name_H-M_alt 'P m m m'
_space_group_IT_number 47
_space_group_name_Hall '-P 2 2'
loop_
_atom_site_label
_atom_site_type_symbol
_atom_site_fract_x
_atom_site_fract_y
_atom_site_fract_z
Ho1 Ho 0.000 0.000 0.000
Pu1 Pu 0.000 0.500 0.500
Hg1 Hg 0.500 0.000 0.330
Hg2 Hg 0.500 0.500 0.164
# Uncorrected energy   -0.133 Ha/atom
# Crystal system   orthorhombic
# Relative energy among the computed polymorphs   0.000 eV/atom
# Formation energy   -266 meV per atom


[12]
# PBE CoAuSe2, optimized geometry
data_CoAuSe2
_chemical_formula_sum 'Co4 Au4 Se8'
_cell_length_a 7.736
_cell_length_b 3.332
_cell_length_c 13.503
_cell_angle_alpha 90.00
_cell_angle_beta 90.00
_cell_angle_gamma 90.00
_space_group_name_H-M_alt 'P n m a'
_space_group_IT_number 62
_space_group_name_Hall '-P 2ac 2n'
loop_
_atom_site_label
_atom_site_type_symbol
_atom_site_fract_x
_atom_site_fract_y
_atom_site_fract_z
Co1 Co 0.045 0.250 0.072
Au1 Au 0.008 0.750 0.409
Se1 Se 0.166 0.250 0.917
Se2 Se 0.208 0.750 0.155
# Uncorrected energy   -0.164 Ha/atom
# Formation energy from raw total energies   -119 meV/atom
# Crystal system   orthorhombic